PuTlSnS3: relaxed, PBE.

Properties
**Raw formation energy**: -0.915 eV/atom
**Fermi-level density of states**: 1.32 states/eV/atom
**Total magnetization**: 10.0 μB/cell

Cell: 8.9571 4.0002 9.8238 Å, 90.00 91.51 90.00°
Last column: nearest neighbours and their distance in Å.
Atoms (fractional coordinates):
Pu (0.1295, 0.2500, 0.1402)  6 S 2.74-2.78
Pu (0.8705, 0.7500, 0.8598)  6 S 2.74-2.78
Tl (0.3355, 0.7500, 0.8155)  3 S 3.08
Tl (0.6645, 0.2500, 0.1845)  3 S 3.08
Sn (0.3590, 0.7500, 0.3989)  3 S 2.61-2.65
Sn (0.6410, 0.2500, 0.6011)  3 S 2.61-2.65
S (0.0801, 0.2500, 0.8624)  3 Pu 2.74-2.75
S (0.1737, 0.2500, 0.4210)  2 Sn 2.61, 1 Pu 2.78
S (0.3431, 0.7500, 0.1296)  1 Sn 2.65, 2 Pu 2.77
S (0.6569, 0.2500, 0.8704)  1 Sn 2.65, 2 Pu 2.77
S (0.8263, 0.7500, 0.5790)  2 Sn 2.61, 1 Pu 2.78
S (0.9199, 0.7500, 0.1376)  3 Pu 2.74-2.75